Rb2ScTaO6: relaxed, GGA-PBE.

a b c (Å): 8.356 8.356 8.356
angles (deg): 90.00 90.00 90.00
Space group Fm-3m (No. 225)
Asymmetric unit:
Rb (0.250, 0.250, 0.250) (multiplicity 8)
Sc (0.000, 0.000, 0.000) (multiplicity 4)
Ta (0.000, 0.000, 0.500) (multiplicity 4)
O (0.000, 0.000, 0.259) (multiplicity 24)

Raw total energy: -72.5 eV per formula unit
Total moment: 8.16 μB/cell
E_form (uncorrected): -219 kJ per mole of atoms

---

Rb3ScTa2O9: relaxed, GGA-PBE.

a b c (Å): 5.8645 5.8645 7.1898
angles (deg): 90.00 90.00 120.00
Space group P-3m1 (No. 164)
Asymmetric unit:
Rb (0.0000, 0.0000, 0.0000) (multiplicity 1)
Rb (0.3333, 0.6667, 0.6649) (multiplicity 2)
Sc (0.0000, 0.0000, 0.5000) (multiplicity 1)
Ta (0.3333, 0.6667, 0.1724) (multiplicity 2)
O (0.0000, 0.5000, 0.0000) (multiplicity 3)
O (0.1728, 0.3455, 0.3235) (multiplicity 6)

Raw total energy: -113.2 eV per formula unit
Total moment: 1.99 μB/cell
E_form (uncorrected): -229 kJ per mole of atoms

---

- The lowest raw total energy belongs to which entry?
  Rb3ScTa2O9

---

- Which of these has the lowest total moment?
  Rb3ScTa2O9